Entry 1:
First-principles (PBE-GGA) data for an optimized crystal structure of NaDyHo4Se8, as listed in Alexandria.

* total magnetization: 0.00 μB per formula unit
* calculated volume: 30.3 A^3/atom
* total DFT energy (no corrections): -76.84 eV/f.u.

Structure (extended XYZ):
```
14
Lattice="4.212 2.432 6.895 -4.212 2.432 6.895 0.000 -4.864 6.895" Properties=species:S:1:pos:R:3 pbc="T T T"
Na 0.000 0.000 0.000
Dy 0.000 0.000 13.044
Ho -2.189 -1.264 9.458
Ho 0.000 0.000 5.185
Ho 2.189 -1.264 9.458
Ho 0.000 2.528 9.458
Se 0.000 -2.278 11.155
Se -1.973 1.139 11.155
Se 0.000 0.000 7.936
Se -1.942 -1.121 14.740
Se 1.973 1.139 11.155
Se 0.000 0.000 17.900
Se 1.942 -1.121 14.740
Se 0.000 2.243 14.740
```

Entry 2:
First-principles (PBE-GGA) data for an optimized crystal structure of Na4DyHo3Se8, as listed in Alexandria.

* total magnetization: 0.00 μB per formula unit
* calculated volume: 25.9 A^3/atom
* total DFT energy (no corrections): -78.80 eV/f.u.

Structure (extended XYZ):
```
16
Lattice="4.133 2.386 7.006 -4.133 2.386 7.006 0.000 -4.772 7.006" Properties=species:S:1:pos:R:3 pbc="T T T"
Na 0.000 0.000 0.000
Na -2.066 -1.193 7.006
Na -2.066 1.193 14.011
Na 0.000 2.386 7.006
Dy 0.000 0.000 10.509
Ho -4.133 0.000 10.509
Ho -2.066 1.193 3.503
Ho 2.066 1.193 3.503
Se -2.072 -1.196 12.112
Se 0.000 0.000 5.103
Se 0.000 -2.392 8.905
Se -2.072 1.196 8.905
Se 2.072 -1.196 12.112
Se 0.000 2.392 12.112
Se 0.000 0.000 15.914
Se 2.072 1.196 8.906
```